CsGa2HgPd | GGA-PBE | relaxed

Cell: 5.015 5.015 5.557 Å, 90.00 90.00 90.00°
Space group P4/mmm (No. 123)
Inequivalent atoms, fractional coordinates:
Cs: 0.000 0.000 0.000
Ga: 0.000 0.500 0.500
Hg: 0.500 0.500 0.000
Pd: 0.500 0.500 0.500

## Properties
density	6.884	g/cm3
E_tot	-2.655	eV/atom
total moment	0.00	μB per formula unit